[1]
Material: SnSN2F
Method: DFT, PBE-GGA
State: optimized geometry

Output
offset from the most stable computed form = 0.000 eV per atom
symmetry = P4/mmm, No. 123
DOS(E_F) = 1.6 states/eV/cell
calculated volume = 65 Å³ per cell
total moment = 0.0 μB/f.u.

Cell and atoms, written as POSCAR:
```
SnSN2F
1.0
-0.496 -2.356 -2.635
1.605 -2.521 1.952
-4.476 -1.299 2.003
S N Sn F
1 2 1 1
Direct
0.000 0.000 0.000
0.000 0.500 0.000
0.500 0.000 0.000
0.500 0.500 0.500
0.000 0.000 0.500
```

[2]
Material: SnSN2F
Method: DFT, PBE-GGA
State: optimized geometry

Output
offset from the most stable computed form = 0.676 eV per atom
symmetry = P4/mmm, No. 123
DOS(E_F) = 1.0 states/eV/cell
calculated volume = 92 Å³ per cell
total moment = 5.0 μB/f.u.

Cell and atoms, written as POSCAR:
```
SnSN2F
1.0
4.199 0.000 0.000
0.000 4.199 0.000
0.000 0.000 5.235
S N Sn F
1 2 1 1
Direct
0.000 0.000 0.500
0.000 0.500 0.000
0.500 0.000 0.000
0.000 0.000 0.000
0.500 0.500 0.500
```

[3]
Material: SnS2NF
Method: DFT, PBE-GGA
State: optimized geometry

Output
offset from the most stable computed form = 0.156 eV per atom
symmetry = P4/mmm, No. 123
DOS(E_F) = 2.1 states/eV/cell
calculated volume = 89 Å³ per cell
total moment = 2.3 μB/f.u.

Cell and atoms, written as POSCAR:
```
SnS2NF
1.0
-2.007 3.153 1.995
-0.389 -2.430 3.449
4.340 1.697 1.684
S N Sn F
2 1 1 1
Direct
0.000 0.500 0.000
0.500 0.000 0.000
0.000 0.000 0.500
0.500 0.500 0.500
0.000 0.000 0.000
```

[4]
Material: SnS2NF
Method: DFT, PBE-GGA
State: optimized geometry

Output
offset from the most stable computed form = 0.000 eV per atom
symmetry = P4/mmm, No. 123
DOS(E_F) = 3.5 states/eV/cell
calculated volume = 109 Å³ per cell
total moment = 4.1 μB/f.u.

Cell and atoms, written as POSCAR:
```
SnS2NF
1.0
-4.466 -0.146 -2.547
1.378 -4.459 -2.161
-1.713 -2.042 3.121
S N Sn F
2 1 1 1
Direct
0.000 0.500 0.000
0.500 0.000 0.000
0.000 0.000 0.500
0.000 0.000 0.000
0.500 0.500 0.500
```

| no. | uncorrected energy (eV per atom) |
| --- | --- |
| 1 | -4.6594 |
| 2 | -3.9831 |
| 3 | -3.3892 |
| 4 | -3.5451 |